1.
{
  "formula": "TaSe2",
  "functional": "GGA-PBE",
  "state": "relaxed",
  "lattice_angstrom": [[-4.902, -3.754, 0.481], [3.115, -8.112, -1.686], [2.520, 6.476, 8.761]],
  "species": ["Se", "Se", "Se", "Se", "Se", "Se", "Se", "Se", "Se", "Se", "Ta", "Ta", "Ta", "Ta", "Ta"],
  "fractional_positions": [[0.597, 0.544, 0.209], [0.403, 0.456, 0.791], [0.466, 0.991, 0.165], [0.534, 0.009, 0.835], [0.979, 0.230, 0.305], [0.021, 0.770, 0.695], [0.978, 0.723, 0.011], [0.022, 0.277, 0.989], [0.710, 0.344, 0.560], [0.290, 0.656, 0.440], [0.000, 0.000, 0.000], [0.459, 0.222, 0.090], [0.541, 0.778, 0.910], [0.695, 0.522, 0.445], [0.305, 0.478, 0.555]]
}

***

2.
{
  "formula": "TaSe2",
  "functional": "GGA-PBE",
  "state": "relaxed",
  "lattice_angstrom": [[3.716, -6.437, 0.000], [3.716, 6.437, 0.000], [0.000, 0.000, 3.516]],
  "species": ["Ta", "Ta", "Ta", "Se", "Se", "Se", "Se", "Se", "Se"],
  "fractional_positions": [[0.333, 0.667, 0.000], [0.667, 0.333, 0.000], [0.000, 0.000, 0.500], [0.272, 0.000, 0.000], [0.000, 0.272, 0.000], [0.728, 0.728, 0.000], [0.611, 0.000, 0.500], [0.000, 0.611, 0.500], [0.389, 0.389, 0.500]]
}

***

3.
{
  "formula": "Ta3Se",
  "functional": "GGA-PBE",
  "state": "relaxed",
  "lattice_angstrom": [[-3.497, -3.759, -0.758], [3.834, -3.455, -0.551], [-0.105, -0.931, 5.105]],
  "species": ["Ta", "Ta", "Ta", "Ta", "Ta", "Ta", "Se", "Se"],
  "fractional_positions": [[0.750, 0.500, 0.000], [0.250, 0.500, 0.000], [0.000, 0.750, 0.500], [0.000, 0.250, 0.500], [0.500, 0.000, 0.250], [0.500, 0.000, 0.750], [0.000, 0.000, 0.000], [0.500, 0.500, 0.500]]
}

***

4.
{
  "formula": "Ta3Se4",
  "functional": "GGA-PBE",
  "state": "relaxed",
  "lattice_angstrom": [[-5.507, 1.325, -0.080], [1.607, -5.432, -0.040], [-0.086, -0.062, 4.941]],
  "species": ["Ta", "Ta", "Ta", "Se", "Se", "Se", "Se"],
  "fractional_positions": [[0.000, 0.500, 0.000], [0.500, 0.500, 0.000], [0.500, 0.000, 0.000], [0.000, 0.000, 0.250], [0.000, 0.000, 0.750], [0.667, 0.333, 0.500], [0.333, 0.667, 0.500]]
}

***

Energy / eV for the cell shown: -102.14; -59.38; -77.60; -47.60